#a
A plane-wave DFT calculation with PBE-GGA was carried out for crystalline BaSc2Re at its relaxed geometry.

Properties
Its spin magnetization is 0.00 μB/cell.

Unit cell a=5.0924 b=5.0924 c=3.5803 alpha=90.00 beta=90.00 gamma=102.61
With the nearest neighbours (Å) after each atom.
Sites, in units of the cell vectors:
Ba (0.0000, 0.0000, 0.0000)  8 Sc 3.11, 2 Re 3.18
Sc (0.0000, 0.5000, 0.5000)  4 Re 3.11, 4 Ba 3.11, 2 Sc 3.18
Sc (0.5000, 0.0000, 0.5000)  4 Re 3.11, 4 Ba 3.11, 2 Sc 3.18
Re (0.5000, 0.5000, 0.0000)  8 Sc 3.11, 2 Ba 3.18

***

#b
A plane-wave DFT calculation with PBE-GGA was carried out for crystalline BaSc2Re at its relaxed geometry.

Properties
Its spin magnetization is 0.00 μB/cell.

Unit cell a=3.6016 b=4.7440 c=7.0879 alpha=90.00 beta=104.64 gamma=90.00
With the nearest neighbours (Å) after each atom.
Sites, in units of the cell vectors:
Ba (0.0000, 0.0000, 0.0000)  3 Sc 3.50-3.86, 4 Re 3.56, 2 Ba 3.60
Sc (0.2863, 0.5000, 0.5744)  2 Re 2.68
Sc (0.7180, 0.0000, 0.4371)  2 Re 2.59
Re (0.6421, 0.5000, 0.2848)  4 Sc 2.59-2.68

***

Order of stability, best first: #b, #a

***

#a
A plane-wave DFT calculation with PBE-GGA was carried out for crystalline BaSc2Re at its relaxed geometry.

Properties
Its spin magnetization is 0.00 μB/cell.

Unit cell a=5.1055 b=5.1055 c=5.1055 alpha=60.00 beta=60.00 gamma=60.00
With the nearest neighbours (Å) after each atom.
Sites, in units of the cell vectors:
Ba (0.0000, 0.0000, 0.0000)  4 Re 3.13, 4 Sc 3.13
Sc (0.2500, 0.2500, 0.2500)  4 Ba 3.13, 4 Sc 3.13
Sc (0.5000, 0.5000, 0.5000)  4 Re 3.13, 4 Sc 3.13
Re (0.7500, 0.7500, 0.7500)  4 Ba 3.13, 4 Sc 3.13

***

#b
A plane-wave DFT calculation with PBE-GGA was carried out for crystalline BaSc2Re at its relaxed geometry.

Properties
Its spin magnetization is 0.00 μB/cell.

Unit cell a=10.6489 b=10.6489 c=10.6489 alpha=18.17 beta=18.17 gamma=18.17
With the nearest neighbours (Å) after each atom.
Sites, in units of the cell vectors:
Ba (0.0000, 0.0000, 0.0000)  6 Ba 3.36
Sc (0.2278, 0.2278, 0.2278)  3 Re 2.73
Sc (0.7722, 0.7722, 0.7722)  3 Re 2.73
Re (0.5000, 0.5000, 0.5000)  6 Sc 2.73

***

#c
A plane-wave DFT calculation with PBE-GGA was carried out for crystalline BaSc2Re at its relaxed geometry.

Properties
Its spin magnetization is 0.00 μB/cell.

Unit cell a=4.3139 b=4.3139 c=8.5004 alpha=95.07 beta=95.07 gamma=45.31
With the nearest neighbours (Å) after each atom.
Sites, in units of the cell vectors:
Ba (0.0000, 0.0000, 0.0000)  2 Ba 3.32, 2 Sc 3.57
Sc (0.2260, 0.2260, 0.6571)  3 Re 2.66-2.71
Sc (0.7740, 0.7740, 0.3429)  3 Re 2.66-2.71
Re (0.5000, 0.5000, 0.5000)  6 Sc 2.66-2.71

***

Order of stability, best first: #c, #b, #a

***

#a
A plane-wave DFT calculation with PBE-GGA was carried out for crystalline BaSc2Re at its relaxed geometry.

Properties
Its spin magnetization is 0.02 μB/cell.

Unit cell a=4.5752 b=4.5752 c=7.0519 alpha=108.90 beta=108.90 gamma=59.91
With the nearest neighbours (Å) after each atom.
Sites, in units of the cell vectors:
Ba (0.0000, 0.0000, 0.0000)  7 Sc 3.58-3.86, 4 Re 3.80-3.81
Sc (0.1960, 0.1960, 0.5909)  3 Re 2.87, 3 Sc 3.01
Sc (0.4556, 0.4556, 0.3698)  3 Re 2.66
Re (0.8054, 0.8054, 0.4195)  6 Sc 2.66-2.87

***

#b
A plane-wave DFT calculation with PBE-GGA was carried out for crystalline BaSc2Re at its relaxed geometry.

Properties
Its spin magnetization is 0.00 μB/cell.

Unit cell a=6.1370 b=6.1370 c=3.0514 alpha=103.73 beta=103.73 gamma=114.74
With the nearest neighbours (Å) after each atom.
Sites, in units of the cell vectors:
Ba (0.0000, 0.0000, 0.0000)  2 Ba 3.05, 4 Sc 3.09, 4 Re 3.31-3.37
Sc (0.0000, 0.5000, 0.5000)  6 Sc 3.05-3.37, 2 Ba 3.09, 2 Re 3.09
Sc (0.5000, 0.0000, 0.5000)  6 Sc 3.05-3.37, 2 Ba 3.09, 2 Re 3.09
Re (0.5000, 0.5000, 0.0000)  2 Re 3.05, 4 Sc 3.09, 4 Ba 3.31-3.37

***

Order of stability, best first: #a, #b